Below is a relaxed structure of BC3, with properties calculated at the PBE-GGA level.

## Properties
- formation enthalpy at 0 K (eV/atom) = 0.262
- E above lowest polymorph (eV per atom) = 0.021
- E_tot (eV/atom) = -8.326

a = 2.519 Å, b = 2.528 Å, c = 11.632 Å
α = 90.00°, β = 90.00°, γ = 90.00°
Space group Pmm2 (No. 25)
One atom of each set of equivalent atoms:
B 0.000 0.000 0.000
B 0.000 0.000 0.332
B 0.000 0.500 0.741
C 0.000 0.000 0.651
C 0.000 0.500 0.089
C 0.000 0.500 0.423
C 0.500 0.000 0.241
C 0.500 0.000 0.578
C 0.500 0.000 0.905
C 0.500 0.500 0.165
C 0.500 0.500 0.496
C 0.500 0.500 0.835


Below is a relaxed structure of Pr3Sm7Er2, with properties calculated at the PBE-GGA level.

## Properties
- formation enthalpy at 0 K (eV/atom) = 0.275
- E above lowest polymorph (eV per atom) = 0.188
- E_tot (eV/atom) = -4.433

a = 6.6006 Å, b = 6.6006 Å, c = 34.2494 Å
α = 90.00°, β = 90.00°, γ = 120.00°
Space group R-3m (No. 166, hexagonal axes)
One atom of each set of equivalent atoms:
Pr 0.0000 0.0000 0.0000
Pr 0.0000 0.0000 0.1545
Sm 0.0000 0.0000 0.5000
Sm 0.0024 0.5012 0.9167
Er 0.0000 0.0000 0.3336


Below is a relaxed structure of MgNiSe, with properties calculated at the PBE-GGA level.

## Properties
- formation energy (no corrections) (eV/atom) = -0.392
- E_tot (eV/atom) = -4.012

a = 6.924 Å, b = 3.713 Å, c = 7.602 Å
α = 90.00°, β = 90.00°, γ = 90.00°
Space group Pnma (No. 62)
One atom of each set of equivalent atoms:
Mg 0.018 0.250 0.173
Ni 0.222 0.750 0.406
Se 0.173 0.250 0.614


Below is a relaxed structure of PmDyAlGa, with properties calculated at the PBE-GGA level.

## Properties
- formation enthalpy at 0 K (eV/atom) = -0.469
- E above lowest polymorph (eV per atom) = 0.025
- E_tot (eV/atom) = -4.500

a = 7.276 Å, b = 7.276 Å, c = 7.276 Å
α = 90.00°, β = 90.00°, γ = 90.00°
Space group F-43m (No. 216)
One atom of each set of equivalent atoms:
Pm 0.000 0.000 0.000
Dy 0.000 0.000 0.500
Al 0.250 0.250 0.750
Ga 0.250 0.250 0.250


Below is a relaxed structure of Ca3TlPd3, with properties calculated at the PBE-GGA level.

## Properties
- formation enthalpy at 0 K (eV/atom) = -0.485
- E above lowest polymorph (eV per atom) = 0.104
- E_tot (eV/atom) = -3.906

a = 8.8387 Å, b = 8.8387 Å, c = 4.9193 Å
α = 90.00°, β = 90.00°, γ = 120.00°
Space group P6_3/m (No. 176)
One atom of each set of equivalent atoms:
Ca 0.0871 0.4094 0.2500
Tl 0.3333 0.6667 0.7500
Pd 0.0459 0.2042 0.7500


Below is a relaxed structure of LiBe2ZnNi, with properties calculated at the PBE-GGA level.

## Properties
- formation enthalpy at 0 K (eV/atom) = 0.426
- E_tot (eV/atom) = -2.858

a = 4.027 Å, b = 4.027 Å, c = 4.241 Å
α = 90.00°, β = 90.00°, γ = 90.00°
Space group P4/mmm (No. 123)
One atom of each set of equivalent atoms:
Li 0.000 0.000 0.000
Be 0.000 0.500 0.500
Zn 0.500 0.500 0.000
Ni 0.000 0.000 0.500


Below is a relaxed structure of CoBrN2, with properties calculated at the PBE-GGA level.

## Properties
- formation energy (no corrections) (eV/atom) = 1.037
- E above lowest polymorph (eV per atom) = 0.121
- E_tot (eV/atom) = -5.321

a = 5.297 Å, b = 5.297 Å, c = 8.108 Å
α = 90.00°, β = 90.00°, γ = 90.00°
Space group I-42d (No. 122)
One atom of each set of equivalent atoms:
Co 0.000 0.000 0.000
Br 0.000 0.000 0.500
N 0.104 0.250 0.125


Below is a relaxed structure of PmPrDy, with properties calculated at the PBE-GGA level.

## Properties
- formation enthalpy at 0 K (eV/atom) = 0.015
- E above lowest polymorph (eV per atom) = 0.001
- E_tot (eV/atom) = -4.696

a = 3.644 Å, b = 5.134 Å, c = 10.903 Å
α = 90.00°, β = 90.00°, γ = 90.00°
Space group Imm2 (No. 44)
One atom of each set of equivalent atoms:
Pm 0.000 0.000 0.000
Pr 0.000 0.000 0.668
Dy 0.000 0.000 0.335


Below is a relaxed structure of CrNi5Pd, with properties calculated at the PBE-GGA level.

## Properties
- formation enthalpy at 0 K (eV/atom) = 0.208
- E_tot (eV/atom) = -6.038

a = 4.964 Å, b = 7.183 Å, c = 5.046 Å
α = 90.00°, β = 90.00°, γ = 90.00°
Space group Cmmm (No. 65)
One atom of each set of equivalent atoms:
Cr 0.000 0.000 0.000
Ni 0.000 0.500 0.000
Ni 0.250 0.250 0.246
Pd 0.000 0.500 0.500


Below is a relaxed structure of Ce5Sb2HRu, with properties calculated at the PBE-GGA level.

## Properties
- E_tot (eV/atom) = -6.214

a = 4.452 Å, b = 4.452 Å, c = 11.541 Å
α = 90.00°, β = 90.00°, γ = 90.00°
Space group P4/mmm (No. 123)
One atom of each set of equivalent atoms:
Ce 0.000 0.000 0.000
Ce 0.000 0.500 0.500
Ce 0.500 0.500 0.219
Sb 0.000 0.000 0.290
H 0.500 0.500 0.500
Ru 0.500 0.500 0.000


Below is a relaxed structure of Pr5Sm3Y, with properties calculated at the PBE-GGA level.

## Properties
- formation enthalpy at 0 K (eV/atom) = 0.540
- E above lowest polymorph (eV per atom) = 0.385
- E_tot (eV/atom) = -4.407

a = 11.617 Å, b = 11.557 Å, c = 11.854 Å
α = 90.00°, β = 115.62°, γ = 90.00°
Space group C2/m (No. 12)
One atom of each set of equivalent atoms:
Pr 0.000 0.245 0.000
Pr 0.029 0.000 0.380
Pr 0.195 0.000 0.905
Pr 0.204 0.267 0.649
Sm 0.000 0.500 0.000
Sm 0.000 0.500 0.500
Sm 0.119 0.000 0.155
Sm 0.209 0.500 0.349
Y 0.090 0.500 0.794


Below is a relaxed structure of Ca2ScHIr, with properties calculated at the PBE-GGA level.

## Properties
- E_tot (eV/atom) = -3.628

a = 6.168 Å, b = 6.168 Å, c = 4.550 Å
α = 90.00°, β = 90.00°, γ = 90.00°
Space group P4/mmm (No. 123)
One atom of each set of equivalent atoms:
Ca 0.000 0.500 0.000
Sc 0.000 0.000 0.000
H 0.500 0.500 0.500
Ir 0.000 0.000 0.500